# 1
Pu3Re2Si4 | PBE | relaxed

Output
Theoretical density in g cm⁻³: 12.42
V in A^3/atom: 18.07
Calculated total energy in eV/cell: -184.05
Formation energy (no corrections) in kJ per mole of atoms: -26.19
DOS(E_F) in states/eV/f.u.: 16.75

Cell lengths 10.3765, 4.2575, 8.5742 Å; angles 90.00, 120.81, 90.00 degrees
With the nearest neighbours (Å) after each atom.
Space group C2/m (No. 12)
Inequivalent atoms, fractional coordinates:
Pu 0.0000 0.0000 0.0000 [2 per cell]  4 Re 2.88, 8 Si 2.92-3.22
Pu 0.1325 0.5000 0.6690 [4 per cell]  1 Pu 2.79, 6 Si 2.84-3.06, 3 Re 3.02-3.11
Re 0.1257 0.5000 0.2633 [4 per cell]  4 Si 2.48-2.59
Si 0.1264 0.0000 0.4250 [4 per cell]  3 Re 2.54-2.59
Si 0.2062 0.5000 0.0368 [4 per cell]  1 Re 2.48, 2 Si 2.52

# 2
NaHgNF2 | PBE | relaxed

Output
Theoretical density in g cm⁻³: 4.81
V in A^3/atom: 19.02
Distance to the lowest polymorph of the same formula in eV per atom: 0.000
Calculated total energy in eV/cell: -16.08
Formation energy (no corrections) in kJ per mole of atoms: -46.21
DOS(E_F) in states/eV/f.u.: 1.50

Cell lengths 4.8025, 4.8025, 4.1227 Å; angles 90.00, 90.00, 90.00 degrees
With the nearest neighbours (Å) after each atom.
Space group P4/mmm (No. 123)
Inequivalent atoms, fractional coordinates:
Na 0.0000 0.0000 0.0000 [1 per cell]  8 F 3.16, 4 N 3.40
Hg 0.5000 0.5000 0.5000 [1 per cell]  2 N 2.06
N 0.5000 0.5000 0.0000 [1 per cell]  2 Hg 2.06
F 0.0000 0.5000 0.5000 [2 per cell]  2 Hg 2.40

# 3
Zn2HgBr6 | PBE | relaxed

Output
Theoretical density in g cm⁻³: 4.23
V in A^3/atom: 35.34
Calculated total energy in eV/cell: -77.63
Formation energy (no corrections) in kJ per mole of atoms: -69.90
DOS(E_F) in states/eV/f.u.: 0.00

Cell lengths 14.2998, 14.4819, 6.7361 Å; angles 90.00, 114.21, 90.00 degrees
With the nearest neighbours (Å) after each atom.
Space group C2/c (No. 15)
Inequivalent atoms, fractional coordinates:
Zn 0.2154 0.0775 0.3347 [8 per cell]  4 Br 2.43-2.47
Hg 0.0000 0.2878 0.2500 [4 per cell]  4 Br 2.65-2.74
Br 0.1044 0.4042 0.5894 [8 per cell]  1 Zn 2.43
Br 0.1254 0.2083 0.1012 [8 per cell]  1 Zn 2.46, 1 Hg 2.65
Br 0.1625 0.0701 0.6348 [8 per cell]  2 Zn 2.43-2.47

What did the first record say?
Pu3Re2Si4 | PBE | relaxed

Output
Theoretical density in g cm⁻³: 12.42
V in A^3/atom: 18.07
Calculated total energy in eV/cell: -184.05
Formation energy (no corrections) in kJ per mole of atoms: -26.19
DOS(E_F) in states/eV/f.u.: 16.75

Cell lengths 10.3765, 4.2575, 8.5742 Å; angles 90.00, 120.81, 90.00 degrees
With the nearest neighbours (Å) after each atom.
Space group C2/m (No. 12)
Inequivalent atoms, fractional coordinates:
Pu 0.0000 0.0000 0.0000 [2 per cell]  4 Re 2.88, 8 Si 2.92-3.22
Pu 0.1325 0.5000 0.6690 [4 per cell]  1 Pu 2.79, 6 Si 2.84-3.06, 3 Re 3.02-3.11
Re 0.1257 0.5000 0.2633 [4 per cell]  4 Si 2.48-2.59
Si 0.1264 0.0000 0.4250 [4 per cell]  3 Re 2.54-2.59
Si 0.2062 0.5000 0.0368 [4 per cell]  1 Re 2.48, 2 Si 2.52

Q: DOS(E_F) of number 1 (Pu3Re2Si4)?
A: 16.75 states/eV/f.u.